Compound: Sm3Al2Pd6
Source: the Alexandria database
Functional: PBE
Structure: optimized geometry

Cell: 8.2850 8.2850 8.2850 Å, 109.47 109.47 109.47°
Last column: nearest neighbours and their distance in Å.
Fractional positions:
1 Pd 0.6727 0.3453 0.6727  2 Al 2.61, 4 Pd 2.77
2 Pd 0.3453 0.6727 0.6727  2 Al 2.61, 4 Pd 2.77
3 Pd 0.3273 0.6547 0.3273  2 Al 2.61, 4 Pd 2.77
4 Pd 0.3273 0.3273 0.6547  2 Al 2.61, 4 Pd 2.77
5 Pd 0.6547 0.3273 0.3273  2 Al 2.61, 4 Pd 2.77
6 Pd 0.6727 0.6727 0.3453  2 Al 2.61, 4 Pd 2.77
7 Pd 0.0000 0.3273 0.6727  2 Al 2.61, 4 Pd 2.77
8 Pd 0.3273 0.6727 0.0000  2 Al 2.61, 4 Pd 2.77
9 Pd 0.3273 0.0000 0.6727  2 Al 2.61, 4 Pd 2.77
10 Pd 0.0000 0.6727 0.3273  2 Al 2.61, 4 Pd 2.77
11 Pd 0.6727 0.3273 0.0000  2 Al 2.61, 4 Pd 2.77
12 Pd 0.6727 0.0000 0.3273  2 Al 2.61, 4 Pd 2.77
13 Sm 0.7065 0.0000 0.7065  8 Pd 3.06-3.15, 4 Al 3.41
14 Sm 0.7065 0.7065 0.0000  8 Pd 3.06-3.15, 4 Al 3.41
15 Sm 0.2935 0.2935 0.0000  8 Pd 3.06-3.15, 4 Al 3.41
16 Sm 0.0000 0.2935 0.2935  8 Pd 3.06-3.15, 4 Al 3.41
17 Sm 0.0000 0.7065 0.7065  8 Pd 3.06-3.15, 4 Al 3.41
18 Sm 0.2935 0.0000 0.2935  8 Pd 3.06-3.15, 4 Al 3.41
19 Al 0.5000 0.5000 0.5000  6 Pd 2.61
20 Al 0.0000 0.0000 0.5000  6 Pd 2.61
21 Al 0.5000 0.0000 0.0000  6 Pd 2.61
22 Al 0.0000 0.5000 0.0000  6 Pd 2.61

E_form = -0.87 eV per atom
space-group type = Im-3m
DOS(E_F) = 7.0 states/eV/f.u.